Below is PtAuN3 after structural relaxation, with properties calculated at the GGA-PBE level. Values from VASP.

formation energy from raw total energies	2.19	eV/atom
total magnetic moment	0.00	μB per atom
DOS at the Fermi energy	1.345	states/eV per atom

```
&SYSTEM
  ibrav = 0, nat = 5, ntyp = 3
/
ATOMIC_SPECIES
Au 196.97 Au.upf
Pt 195.08 Pt.upf
N 14.01 N.upf
ATOMIC_POSITIONS angstrom
Au 1.973 1.973 1.973
Pt 0.000 0.000 0.000
N 0.000 1.973 0.000
N 0.000 0.000 1.973
N 1.973 0.000 0.000
CELL_PARAMETERS angstrom
3.946 0.000 0.000
0.000 3.946 0.000
0.000 0.000 3.946
```